The following is a PBE-GGA calculation of crystalline NaAsSe3 at its relaxed geometry, from Alexandria.

Values from the calculation:
Polymorph energy (0 for the lowest one)   61 meV/atom
E_tot   -3.60 eV/atom

Unit cell a=14.1525 b=12.3422 c=6.8473 alpha=90.00 beta=102.55 gamma=90.00
Last column: nearest neighbours and their distance in Å.
Space group C2/c (No. 15)
Inequivalent atoms, fractional coordinates:
Na (0.2313, 0.1349, 0.1901) (multiplicity 8)  4 Se 2.97-3.08
As (0.0000, 0.0653, 0.7500) (multiplicity 4)  2 Se 2.45
As (0.0000, 0.2633, 0.2500) (multiplicity 4)  4 Se 2.48-2.66
Se (0.0926, 0.2967, 0.9555) (multiplicity 8)  1 Se 2.43, 1 As 2.66
Se (0.1133, 0.0549, 0.4696) (multiplicity 8)  1 As 2.45
Se (0.1452, 0.3805, 0.2830) (multiplicity 8)  1 Se 2.43, 1 As 2.48

***

The following is a PBE-GGA calculation of crystalline NaAsSe2 at its relaxed geometry, from Alexandria.

Values from the calculation:
E_tot   -3.79 eV/atom

Unit cell a=11.8869 b=6.0715 c=12.1732 alpha=90.00 beta=90.71 gamma=90.00
Last column: nearest neighbours and their distance in Å.
Space group Pc (No. 7)
Inequivalent atoms, fractional coordinates:
Na (0.0000, 0.0028, 0.0000) (multiplicity 2)  6 Se 2.99-3.10
Na (0.2409, 0.4849, 0.9969) (multiplicity 2)  5 Se 3.02-3.08
Na (0.5004, 0.0242, 0.9763) (multiplicity 2)  6 Se 2.97-3.09
Na (0.7372, 0.0352, 0.7415) (multiplicity 2)  5 Se 3.01-3.07
As (0.2333, 0.0473, 0.2788) (multiplicity 2)  3 Se 2.37-2.58
As (0.4782, 0.4080, 0.2455) (multiplicity 2)  3 Se 2.36-2.53
As (0.7351, 0.4240, 0.4647) (multiplicity 2)  3 Se 2.37-2.59
As (0.9799, 0.4790, 0.2910) (multiplicity 2)  3 Se 2.36-2.53
Se (0.0186, 0.0875, 0.2508) (multiplicity 2)  2 As 2.47-2.58
Se (0.2510, 0.0173, 0.4723) (multiplicity 2)  1 As 2.37
Se (0.2666, 0.4489, 0.2478) (multiplicity 2)  2 As 2.50-2.53
Se (0.4859, 0.0212, 0.2267) (multiplicity 2)  1 As 2.36
Se (0.5195, 0.4736, 0.4422) (multiplicity 2)  2 As 2.47-2.59
Se (0.7494, 0.0382, 0.4910) (multiplicity 2)  1 As 2.37
Se (0.7690, 0.4649, 0.2638) (multiplicity 2)  2 As 2.50-2.53
Se (0.9870, 0.4997, 0.4849) (multiplicity 2)  1 As 2.36

***

The following is a PBE-GGA calculation of crystalline NaAsSe at its relaxed geometry, from Alexandria.

Values from the calculation:
Polymorph energy (0 for the lowest one)   0 meV/atom
E_tot   -3.73 eV/atom

Unit cell a=4.0109 b=4.4537 c=8.6264 alpha=83.40 beta=84.44 gamma=90.00
Last column: nearest neighbours and their distance in Å.
Space group P-1 (No. 2)
Inequivalent atoms, fractional coordinates:
Na (0.1527, 0.3002, 0.3352) (multiplicity 2)  5 Se 2.98-3.21, 1 As 3.23
As (0.2583, 0.1815, 0.9717) (multiplicity 2)  1 Se 2.41, 2 As 2.57-2.60
Se (0.3439, 0.1999, 0.6907) (multiplicity 2)  1 As 2.41

***

The following is a PBE-GGA calculation of crystalline Na2As2Se5 at its relaxed geometry, from Alexandria.

Values from the calculation:
Polymorph energy (0 for the lowest one)   0 meV/atom
E_tot   -3.68 eV/atom

Unit cell a=16.1303 b=5.4213 c=6.0102 alpha=90.00 beta=107.03 gamma=90.00
Last column: nearest neighbours and their distance in Å.
Space group C2/m (No. 12)
Inequivalent atoms, fractional coordinates:
Na (0.1000, 0.0000, 0.3951) (multiplicity 4)  4 Se 2.89-3.17
As (0.1754, 0.5000, 0.8649) (multiplicity 4)  2 Se 2.38-2.55
Se (0.0000, 0.5000, 0.5000) (multiplicity 2)  2 Se 2.72, 2 As 3.03
Se (0.1611, 0.0000, 0.9466) (multiplicity 4)  3 As 2.55-2.78
Se (0.1639, 0.5000, 0.4614) (multiplicity 4)  1 As 2.38

***

The following is a PBE-GGA calculation of crystalline NaAs6Se8 at its relaxed geometry, from Alexandria.

Values from the calculation:
E_tot   -3.86 eV/atom
N(E_F)   0.27 states/eV/atom

Unit cell a=9.7272 b=9.7272 c=14.8336 alpha=90.00 beta=90.00 gamma=120.00
Last column: nearest neighbours and their distance in Å.
Space group R-3 (No. 148, hexagonal axes)
Inequivalent atoms, fractional coordinates:
Na (0.0000, 0.0000, 0.0000) (multiplicity 3)  6 Se 3.17
As (0.0366, 0.2188, 0.6011) (multiplicity 18)  3 Se 2.41-2.70
Se (0.0000, 0.0000, 0.2877) (multiplicity 6)  3 As 2.57
Se (0.0121, 0.3056, 0.0833) (multiplicity 18)  2 As 2.41-2.70

***

The following is a PBE-GGA calculation of crystalline NaAsSe3 at its relaxed geometry, from Alexandria.

Values from the calculation:
Polymorph energy (0 for the lowest one)   0 meV/atom
E_tot   -3.66 eV/atom

Unit cell a=5.4030 b=5.7202 c=9.5262 alpha=90.00 beta=90.94 gamma=90.00
Last column: nearest neighbours and their distance in Å.
Space group P2_1 (No. 4)
Inequivalent atoms, fractional coordinates:
Na (0.1229, 0.0000, 0.3806) (multiplicity 2)  4 Se 2.88-3.05
As (0.3328, 0.8739, 0.9060) (multiplicity 2)  3 Se 2.46-2.48
Se (0.0778, 0.5066, 0.3254) (multiplicity 2)  1 Se 2.42
Se (0.2880, 0.2950, 0.9552) (multiplicity 2)  2 As 2.46-2.47
Se (0.4946, 0.8840, 0.6634) (multiplicity 2)  1 Se 2.42, 1 As 2.48

***

The following is a PBE-GGA calculation of crystalline NaAsSe2 at its relaxed geometry, from Alexandria.

Values from the calculation:
E_tot   -3.58 eV/atom
N(E_F)   0.41 states/eV/atom

Unit cell a=4.0305 b=4.0305 c=5.4968 alpha=90.00 beta=90.00 gamma=90.00
Last column: nearest neighbours and their distance in Å.
Space group P4/mmm (No. 123)
Inequivalent atoms, fractional coordinates:
Na (0.0000, 0.0000, 0.0000) (multiplicity 1)  6 Se 2.75-2.85
As (0.5000, 0.5000, 0.5000) (multiplicity 1)  6 Se 2.75-2.85
Se (0.0000, 0.0000, 0.5000) (multiplicity 1)  2 Na 2.75, 4 As 2.85
Se (0.5000, 0.5000, 0.0000) (multiplicity 1)  2 As 2.75, 4 Na 2.85

***

The following is a PBE-GGA calculation of crystalline Na3As5Se12 at its relaxed geometry, from Alexandria.

Values from the calculation:
E_tot   -3.66 eV/atom
N(E_F)   0.06 states/eV/atom

Unit cell a=16.2406 b=16.2406 c=16.2406 alpha=90.00 beta=90.00 gamma=90.00
Last column: nearest neighbours and their distance in Å.
Space group Ia-3d (No. 230)
Inequivalent atoms, fractional coordinates:
Na (0.0000, 0.2500, 0.1250) (multiplicity 24)  8 Se 3.12-3.19
As (0.0000, 0.0000, 0.0000) (multiplicity 16)  6 Se 2.67
As (0.0000, 0.2500, 0.3750) (multiplicity 24)  4 Se 2.42
Se (0.0295, 0.0579, 0.6513) (multiplicity 96)  2 As 2.42-2.67

***

Number 1: theoretical density 3.8 g/cm³, formation energy without anion corrections -151 kJ/mol of formula units. Number 2: theoretical density 3.9 g/cm³, formation energy without anion corrections -214 kJ/mol of formula units. Number 3: theoretical density 3.9 g/cm³, formation energy without anion corrections -168 kJ/mol of formula units. Number 4: theoretical density 3.9 g/cm³, formation energy without anion corrections -361 kJ/mol of formula units. Number 5: theoretical density 4.5 g/cm³, formation energy without anion corrections -75 kJ/mol of formula units. Number 6: theoretical density 3.8 g/cm³, formation energy without anion corrections -181 kJ/mol of formula units. Number 7: theoretical density 4.8 g/cm³, formation energy without anion corrections -132 kJ/mol of formula units. Number 8: theoretical density 4.3 g/cm³, formation energy without anion corrections -411 kJ/mol of formula units.